Material: TmPu2Se3
Method: DFT, PBE
State: optimized geometry

Cell: 7.1017 7.1017 7.1017 Å, 146.44 131.71 60.09°
Atoms (fractional coordinates):
1 Tm 0.0000 0.0000 0.0000
2 Pu 0.3320 0.3320 0.0000
3 Pu 0.6680 0.6680 0.0000
4 Se 0.1617 0.6617 0.5000
5 Se 0.5000 0.0000 0.5000
6 Se 0.8383 0.3383 0.5000

raw formation energy = -1.59 eV/atom
crystal system = orthorhombic
electronic total energy = -53.1 eV per cell

=====

Material: Tm2Pu2Se7
Method: DFT, PBE
State: optimized geometry

Cell: 4.8997 4.8997 12.9373 Å, 90.00 90.00 90.00°
Atoms (fractional coordinates):
1 Tm 0.0000 0.5000 0.1372
2 Tm 0.5000 0.0000 0.8628
3 Pu 0.0000 0.5000 0.6249
4 Pu 0.5000 0.0000 0.3751
5 Se 0.0000 0.0000 0.2268
6 Se 0.0000 0.0000 0.5000
7 Se 0.0000 0.0000 0.7732
8 Se 0.5000 0.5000 0.0000
9 Se 0.5000 0.5000 0.2547
10 Se 0.5000 0.5000 0.5000
11 Se 0.5000 0.5000 0.7453

raw formation energy = -1.36 eV/atom
crystal system = tetragonal
electronic total energy = -77.0 eV per cell